[1]
An optimized crystal structure of Be2CdTe, computed with PBE-GGA.

Geometry as CIF:
```
data_Be2CdTe
_chemical_formula_sum 'Be4 Cd2 Te2'
_cell_length_a 3.6415
_cell_length_b 6.0854
_cell_length_c 7.2522
_cell_angle_alpha 90.00
_cell_angle_beta 90.00
_cell_angle_gamma 90.00
_symmetry_space_group_name_H-M 'C m m m'
_symmetry_Int_Tables_number 65
_symmetry_space_group_name_Hall '-C 2 2'
loop_
_atom_site_label
_atom_site_fract_x
_atom_site_fract_y
_atom_site_fract_z
_atom_site_occupancy
Be1 0.0000 0.0000 0.2412 1
Cd1 0.0000 0.5000 0.5000 1
Te1 0.0000 0.5000 0.0000 1
```

Results
Energy above the most stable polymorph in this dataset: 408.2 meV/atom
E_form (uncorrected): 0.711 eV/atom

[2]
An optimized crystal structure of Sc3ReBr, computed with PBE-GGA.

Geometry as CIF:
```
data_Sc3ReBr
_chemical_formula_sum 'Sc3 Re1 Br1'
_cell_length_a 5.1376
_cell_length_b 5.1376
_cell_length_c 5.1376
_cell_angle_alpha 90.00
_cell_angle_beta 90.00
_cell_angle_gamma 90.00
_symmetry_space_group_name_H-M 'P m -3 m'
_symmetry_Int_Tables_number 221
_symmetry_space_group_name_Hall '-P 4 2 3'
loop_
_atom_site_label
_atom_site_fract_x
_atom_site_fract_y
_atom_site_fract_z
_atom_site_occupancy
Sc1 0.0000 0.0000 0.5000 1
Re1 0.0000 0.0000 0.0000 1
Br1 0.5000 0.5000 0.5000 1
```

Results
Energy above the most stable polymorph in this dataset: 0.0 meV/atom
E_form (uncorrected): 0.161 eV/atom

[3]
An optimized crystal structure of Pm3TlFe, computed with PBE-GGA.

Geometry as CIF:
```
data_Pm3TlFe
_chemical_formula_sum 'Pm3 Tl1 Fe1'
_cell_length_a 5.2282
_cell_length_b 5.2282
_cell_length_c 5.2282
_cell_angle_alpha 90.00
_cell_angle_beta 90.00
_cell_angle_gamma 90.00
_symmetry_space_group_name_H-M 'P m -3 m'
_symmetry_Int_Tables_number 221
_symmetry_space_group_name_Hall '-P 4 2 3'
loop_
_atom_site_label
_atom_site_fract_x
_atom_site_fract_y
_atom_site_fract_z
_atom_site_occupancy
Pm1 0.0000 0.0000 0.5000 1
Tl1 0.5000 0.5000 0.5000 1
Fe1 0.0000 0.0000 0.0000 1
```

Results
Uncorrected energy: -5.022 eV/atom

[4]
An optimized crystal structure of In2SiSbN, computed with PBE-GGA.

Geometry as CIF:
```
data_In2SiSbN
_chemical_formula_sum 'In2 Si1 Sb1 N1'
_cell_length_a 5.6689
_cell_length_b 5.6689
_cell_length_c 5.1922
_cell_angle_alpha 90.00
_cell_angle_beta 90.00
_cell_angle_gamma 90.00
_symmetry_space_group_name_H-M 'P 4/m m m'
_symmetry_Int_Tables_number 123
_symmetry_space_group_name_Hall '-P 4 2'
loop_
_atom_site_label
_atom_site_fract_x
_atom_site_fract_y
_atom_site_fract_z
_atom_site_occupancy
In1 0.0000 0.5000 0.0000 1
Si1 0.0000 0.0000 0.5000 1
Sb1 0.0000 0.0000 0.0000 1
N1 0.5000 0.5000 0.5000 1
```

Results
E_form (uncorrected): 1.880 eV/atom

[5]
An optimized crystal structure of Sr3CaCu2O6, computed with PBE-GGA.

Geometry as CIF:
```
data_Sr3CaCu2O6
_chemical_formula_sum 'Sr6 Ca2 Cu4 O12'
_cell_length_a 13.0547
_cell_length_b 3.9352
_cell_length_c 6.9720
_cell_angle_alpha 90.00
_cell_angle_beta 105.47
_cell_angle_gamma 90.00
_symmetry_space_group_name_H-M 'C 1 m 1'
_symmetry_Int_Tables_number 8
loop_
_symmetry_equiv_pos_as_xyz
'x,y,z'
'x,-y,z'
'x+1/2,y+1/2,z'
'x+1/2,-y+1/2,z'
loop_
_atom_site_label
_atom_site_fract_x
_atom_site_fract_y
_atom_site_fract_z
_atom_site_occupancy
Sr1 0.0000 0.0000 0.0000 1
Sr2 0.0020 0.0000 0.4957 1
Sr3 0.2060 0.5000 0.8507 1
Ca1 0.2068 0.5000 0.3500 1
Cu1 0.3523 0.0000 0.6649 1
Cu2 0.3534 0.0000 0.1824 1
O1 0.0082 0.5000 0.7516 1
O2 0.0127 0.5000 0.2536 1
O3 0.1974 0.0000 0.1067 1
O4 0.1982 0.0000 0.5852 1
O5 0.3494 0.5000 0.6630 1
O6 0.3500 0.5000 0.1806 1
```

Results
E_form (uncorrected): -2.095 eV/atom

[6]
An optimized crystal structure of RbNaNdBr5, computed with PBE-GGA.

Geometry as CIF:
```
data_RbNaNdBr5
_chemical_formula_sum 'Rb4 Na4 Nd4 Br20'
_cell_length_a 9.5894
_cell_length_b 13.6873
_cell_length_c 11.0836
_cell_angle_alpha 90.00
_cell_angle_beta 112.34
_cell_angle_gamma 90.00
_symmetry_space_group_name_H-M 'C 1 2/c 1'
_symmetry_Int_Tables_number 15
loop_
_symmetry_equiv_pos_as_xyz
'x,y,z'
'-x,-y,-z'
'-x,y,-z+1/2'
'x,-y,z+1/2'
'x+1/2,y+1/2,z'
'-x+1/2,-y+1/2,-z'
'-x+1/2,y+1/2,-z+1/2'
'x+1/2,-y+1/2,z+1/2'
loop_
_atom_site_label
_atom_site_fract_x
_atom_site_fract_y
_atom_site_fract_z
_atom_site_occupancy
Rb1 0.0000 0.1588 0.2500 1
Na1 0.0000 0.1886 0.7500 1
Nd1 0.0000 0.5000 0.0000 1
Br1 0.0000 0.4261 0.2500 1
Br2 0.1064 0.3055 0.5931 1
Br3 0.1886 0.0531 0.9355 1
```

Results
E_form (uncorrected): -1.760 eV/atom

[7]
An optimized crystal structure of Y3ErNi, computed with PBE-GGA.

Geometry as CIF:
```
data_Y3ErNi
_chemical_formula_sum 'Y12 Er4 Ni4'
_cell_length_a 12.1143
_cell_length_b 3.6269
_cell_length_c 13.8240
_cell_angle_alpha 90.00
_cell_angle_beta 115.39
_cell_angle_gamma 90.00
_symmetry_space_group_name_H-M 'C 1 m 1'
_symmetry_Int_Tables_number 8
loop_
_symmetry_equiv_pos_as_xyz
'x,y,z'
'x,-y,z'
'x+1/2,y+1/2,z'
'x+1/2,-y+1/2,z'
loop_
_atom_site_label
_atom_site_fract_x
_atom_site_fract_y
_atom_site_fract_z
_atom_site_occupancy
Y1 0.0000 0.0000 0.0000 1
Y2 0.0436 0.0000 0.5965 1
Y3 0.2132 0.0000 0.8730 1
Y4 0.2786 0.5000 0.1164 1
Y5 0.3497 0.0000 0.3567 1
Y6 0.4226 0.0000 0.7552 1
Er1 0.0629 0.5000 0.2418 1
Er2 0.2291 0.5000 0.5141 1
Ni1 0.0500 0.0000 0.3880 1
Ni2 0.2273 0.5000 0.7222 1
```

Results
Energy above the most stable polymorph in this dataset: 0.0 meV/atom

[8]
An optimized crystal structure of Hf2In, computed with PBE-GGA.

Geometry as CIF:
```
data_Hf2In
_chemical_formula_sum 'Hf8 In4'
_cell_length_a 11.0433
_cell_length_b 3.3185
_cell_length_c 8.0028
_cell_angle_alpha 90.00
_cell_angle_beta 113.20
_cell_angle_gamma 90.00
_symmetry_space_group_name_H-M 'C 1 2/m 1'
_symmetry_Int_Tables_number 12
loop_
_symmetry_equiv_pos_as_xyz
'x,y,z'
'-x,-y,-z'
'-x,y,-z'
'x,-y,z'
'x+1/2,y+1/2,z'
'-x+1/2,-y+1/2,-z'
'-x+1/2,y+1/2,-z'
'x+1/2,-y+1/2,z'
loop_
_atom_site_label
_atom_site_fract_x
_atom_site_fract_y
_atom_site_fract_z
_atom_site_occupancy
Hf1 0.0112 0.0000 0.2576 1
Hf2 0.1616 0.5000 0.5927 1
In1 0.1661 0.5000 0.0737 1
```

Results
Uncorrected energy: -7.626 eV/atom

[9]
An optimized crystal structure of Ba2NaGe3Pt4, computed with PBE-GGA.

Geometry as CIF:
```
data_Ba2NaGe3Pt4
_chemical_formula_sum 'Ba2 Na1 Ge3 Pt4'
_cell_length_a 4.5389
_cell_length_b 4.5389
_cell_length_c 10.6796
_cell_angle_alpha 90.00
_cell_angle_beta 90.00
_cell_angle_gamma 90.00
_symmetry_space_group_name_H-M 'P -4 m 2'
_symmetry_Int_Tables_number 115
loop_
_symmetry_equiv_pos_as_xyz
'x,y,z'
'y,-x,-z'
'-x,-y,z'
'-y,x,-z'
'-x,y,z'
'-y,-x,-z'
'x,-y,z'
'y,x,-z'
loop_
_atom_site_label
_atom_site_fract_x
_atom_site_fract_y
_atom_site_fract_z
_atom_site_occupancy
Ba1 0.0000 0.5000 0.2496 1
Na1 0.0000 0.0000 0.5000 1
Ge1 0.0000 0.5000 0.8856 1
Ge2 0.5000 0.5000 0.5000 1
Pt1 0.0000 0.0000 0.0000 1
Pt2 0.0000 0.5000 0.6446 1
Pt3 0.5000 0.5000 0.0000 1
```

Results
Uncorrected energy: -4.989 eV/atom

[10]
An optimized crystal structure of K2Cd2Co, computed with PBE-GGA.

Geometry as CIF:
```
data_K2Cd2Co
_chemical_formula_sum 'K4 Cd4 Co2'
_cell_length_a 7.1716
_cell_length_b 7.1716
_cell_length_c 5.8675
_cell_angle_alpha 90.00
_cell_angle_beta 90.00
_cell_angle_gamma 90.00
_symmetry_space_group_name_H-M 'P 4/m b m'
_symmetry_Int_Tables_number 127
_symmetry_space_group_name_Hall '-P 4 2ab'
loop_
_atom_site_label
_atom_site_fract_x
_atom_site_fract_y
_atom_site_fract_z
_atom_site_occupancy
K1 0.1768 0.3232 0.0000 1
Cd1 0.1564 0.6564 0.5000 1
Co1 0.0000 0.0000 0.5000 1
```

Results
Uncorrected energy: -1.839 eV/atom

[11]
An optimized crystal structure of Ce2PuGa, computed with PBE-GGA.

Geometry as CIF:
```
data_Ce2PuGa
_chemical_formula_sum 'Ce2 Pu1 Ga1'
_cell_length_a 4.7191
_cell_length_b 4.7191
_cell_length_c 4.3870
_cell_angle_alpha 90.00
_cell_angle_beta 90.00
_cell_angle_gamma 90.00
_symmetry_space_group_name_H-M 'P 4/m m m'
_symmetry_Int_Tables_number 123
_symmetry_space_group_name_Hall '-P 4 2'
loop_
_atom_site_label
_atom_site_fract_x
_atom_site_fract_y
_atom_site_fract_z
_atom_site_occupancy
Ce1 0.0000 0.5000 0.0000 1
Pu1 0.0000 0.0000 0.5000 1
Ga1 0.5000 0.5000 0.5000 1
```

Results
Energy above the most stable polymorph in this dataset: 0.0 meV/atom

[12]
An optimized crystal structure of Ba2ZrRe, computed with PBE-GGA.

Geometry as CIF:
```
data_Ba2ZrRe
_chemical_formula_sum 'Ba4 Zr2 Re2'
_cell_length_a 4.4014
_cell_length_b 4.4014
_cell_length_c 11.4039
_cell_angle_alpha 90.00
_cell_angle_beta 90.00
_cell_angle_gamma 90.00
_symmetry_space_group_name_H-M 'I 4/m m m'
_symmetry_Int_Tables_number 139
_symmetry_space_group_name_Hall '-I 4 2'
loop_
_atom_site_label
_atom_site_fract_x
_atom_site_fract_y
_atom_site_fract_z
_atom_site_occupancy
Ba1 0.0000 0.5000 0.2500 1
Zr1 0.0000 0.0000 0.0000 1
Re1 0.0000 0.0000 0.5000 1
```

Results
Energy above the most stable polymorph in this dataset: 655.0 meV/atom

[13]
An optimized crystal structure of NbSIN2, computed with PBE-GGA.

Geometry as CIF:
```
data_NbSIN2
_chemical_formula_sum 'Nb1 S1 I1 N2'
_cell_length_a 3.8560
_cell_length_b 3.8560
_cell_length_c 5.1676
_cell_angle_alpha 90.00
_cell_angle_beta 90.00
_cell_angle_gamma 90.00
_symmetry_space_group_name_H-M 'P 4/m m m'
_symmetry_Int_Tables_number 123
_symmetry_space_group_name_Hall '-P 4 2'
loop_
_atom_site_label
_atom_site_fract_x
_atom_site_fract_y
_atom_site_fract_z
_atom_site_occupancy
Nb1 0.0000 0.0000 0.0000 1
S1 0.5000 0.5000 0.5000 1
I1 0.5000 0.5000 0.0000 1
N1 0.0000 0.5000 0.5000 1
```

Results
Energy above the most stable polymorph in this dataset: 1467.0 meV/atom
E_form (uncorrected): 1.981 eV/atom

[14]
An optimized crystal structure of PuPaTi2, computed with PBE-GGA.

Geometry as CIF:
```
data_PuPaTi2
_chemical_formula_sum 'Pu1 Pa1 Ti2'
_cell_length_a 4.2123
_cell_length_b 4.2123
_cell_length_c 4.6339
_cell_angle_alpha 90.00
_cell_angle_beta 90.00
_cell_angle_gamma 90.00
_symmetry_space_group_name_H-M 'P 4/m m m'
_symmetry_Int_Tables_number 123
_symmetry_space_group_name_Hall '-P 4 2'
loop_
_atom_site_label
_atom_site_fract_x
_atom_site_fract_y
_atom_site_fract_z
_atom_site_occupancy
Pu1 0.0000 0.0000 0.0000 1
Pa1 0.5000 0.5000 0.0000 1
Ti1 0.0000 0.5000 0.5000 1
```

Results
Energy above the most stable polymorph in this dataset: 0.0 meV/atom

[15]
An optimized crystal structure of UTaSb2, computed with PBE-GGA.

Geometry as CIF:
```
data_UTaSb2
_chemical_formula_sum 'U4 Ta4 Sb8'
_cell_length_a 7.0875
_cell_length_b 7.0875
_cell_length_c 7.0875
_cell_angle_alpha 90.00
_cell_angle_beta 90.00
_cell_angle_gamma 90.00
_symmetry_space_group_name_H-M 'F m -3 m'
_symmetry_Int_Tables_number 225
_symmetry_space_group_name_Hall '-F 4 2 3'
loop_
_atom_site_label
_atom_site_fract_x
_atom_site_fract_y
_atom_site_fract_z
_atom_site_occupancy
U1 0.0000 0.0000 0.0000 1
Ta1 0.0000 0.0000 0.5000 1
Sb1 0.2500 0.2500 0.2500 1
```

Results
E_form (uncorrected): 0.015 eV/atom

[16]
An optimized crystal structure of SrYI5, computed with PBE-GGA.

Geometry as CIF:
```
data_SrYI5
_chemical_formula_sum 'Sr2 Y2 I10'
_cell_length_a 9.4782
_cell_length_b 4.5224
_cell_length_c 14.9936
_cell_angle_alpha 90.00
_cell_angle_beta 94.31
_cell_angle_gamma 90.00
_symmetry_space_group_name_H-M 'P 1 21/m 1'
_symmetry_Int_Tables_number 11
loop_
_symmetry_equiv_pos_as_xyz
'x,y,z'
'-x,-y,-z'
'-x,y+1/2,-z'
'x,-y+1/2,z'
loop_
_atom_site_label
_atom_site_fract_x
_atom_site_fract_y
_atom_site_fract_z
_atom_site_occupancy
Sr1 0.0893 0.2500 0.1422 1
Y1 0.4142 0.7500 0.3499 1
I1 0.0872 0.7500 0.3207 1
I2 0.1492 0.2500 0.9246 1
I3 0.3279 0.2500 0.4840 1
I4 0.3581 0.7500 0.1419 1
I5 0.3869 0.7500 0.7008 1
```

Results
E_form (uncorrected): -1.483 eV/atom

[17]
An optimized crystal structure of MnInPb, computed with PBE-GGA.

Geometry as CIF:
```
data_MnInPb
_chemical_formula_sum 'Mn2 In2 Pb2'
_cell_length_a 3.3219
_cell_length_b 3.3219
_cell_length_c 12.7204
_cell_angle_alpha 90.00
_cell_angle_beta 90.00
_cell_angle_gamma 90.00
_symmetry_space_group_name_H-M 'I 4 m m'
_symmetry_Int_Tables_number 107
_symmetry_space_group_name_Hall 'I 4 -2'
loop_
_atom_site_label
_atom_site_fract_x
_atom_site_fract_y
_atom_site_fract_z
_atom_site_occupancy
Mn1 0.0000 0.0000 0.0000 1
In1 0.0000 0.0000 0.6298 1
Pb1 0.0000 0.0000 0.3457 1
```

Results
Energy above the most stable polymorph in this dataset: 3.8 meV/atom

[18]
An optimized crystal structure of As2PbSeF, computed with PBE-GGA.

Geometry as CIF:
```
data_As2PbSeF
_chemical_formula_sum 'As2 Pb1 Se1 F1'
_cell_length_a 5.5370
_cell_length_b 5.5370
_cell_length_c 5.4023
_cell_angle_alpha 90.00
_cell_angle_beta 90.00
_cell_angle_gamma 90.00
_symmetry_space_group_name_H-M 'P 4/m m m'
_symmetry_Int_Tables_number 123
_symmetry_space_group_name_Hall '-P 4 2'
loop_
_atom_site_label
_atom_site_fract_x
_atom_site_fract_y
_atom_site_fract_z
_atom_site_occupancy
As1 0.0000 0.5000 0.0000 1
Pb1 0.0000 0.0000 0.0000 1
Se1 0.0000 0.0000 0.5000 1
F1 0.5000 0.5000 0.5000 1
```

Results
Energy above the most stable polymorph in this dataset: 789.9 meV/atom
E_form (uncorrected): 0.831 eV/atom

[19]
An optimized crystal structure of Nd2BeCu3Ni12, computed with PBE-GGA.

Geometry as CIF:
```
data_Nd2BeCu3Ni12
_chemical_formula_sum 'Nd6 Be3 Cu9 Ni36'
_cell_length_a 6.0458
_cell_length_b 6.0458
_cell_length_c 24.3314
_cell_angle_alpha 90.00
_cell_angle_beta 90.00
_cell_angle_gamma 120.00
_symmetry_space_group_name_H-M 'R -3 m'
_symmetry_Int_Tables_number 166
_symmetry_space_group_name_Hall '-R 3 2"'
loop_
_atom_site_label
_atom_site_fract_x
_atom_site_fract_y
_atom_site_fract_z
_atom_site_occupancy
Nd1 0.0000 0.0000 0.1582 1
Be1 0.0000 0.0000 0.5000 1
Cu1 0.0000 0.5000 0.0000 1
Ni1 0.0662 0.5331 0.0987 1
Ni2 0.0733 0.5367 0.6134 1
```

Results
Uncorrected energy: -5.080 eV/atom

[20]
An optimized crystal structure of CaTeCl2, computed with PBE-GGA.

Geometry as CIF:
```
data_CaTeCl2
_chemical_formula_sum 'Ca1 Te1 Cl2'
_cell_length_a 4.4309
_cell_length_b 5.2039
_cell_length_c 5.1779
_cell_angle_alpha 90.00
_cell_angle_beta 112.29
_cell_angle_gamma 90.00
_symmetry_space_group_name_H-M 'P 1 m 1'
_symmetry_Int_Tables_number 6
loop_
_symmetry_equiv_pos_as_xyz
'x,y,z'
'x,-y,z'
loop_
_atom_site_label
_atom_site_fract_x
_atom_site_fract_y
_atom_site_fract_z
_atom_site_occupancy
Ca1 0.0000 0.0000 0.0000 1
Te1 0.6124 0.5000 0.1757 1
Cl1 0.2878 0.0000 0.6011 1
Cl2 0.8037 0.5000 0.6915 1
```

Results
Energy above the most stable polymorph in this dataset: 131.9 meV/atom
E_form (uncorrected): -1.325 eV/atom